{"formula": "Cs3F2", "functional": "PBE", "state": "relaxed", "lattice": [[-4.427, 4.427, 6.855], [4.427, -4.427, 6.855], [4.427, 4.427, -6.855]], "species": ["Cs", "Cs", "Cs", "Cs", "Cs", "Cs", "F", "F", "F", "F"], "fractional_positions": [[0.000, 0.000, 0.000], [0.287, 0.555, 0.732], [0.305, 0.073, 0.768], [0.305, 0.537, 0.232], [0.750, 0.250, 0.500], [0.823, 0.555, 0.268], [0.099, 0.383, 0.284], [0.099, 0.815, 0.716], [0.133, 0.349, 0.784], [0.565, 0.349, 0.216]], "relative_energy_mev_per_atom": 0.0, "space_group": "I4_1md", "formation_energy_uncorrected_ev_per_fu": -10.36}